# 1
# SrPtSe4

Crystalline SrPtSe4 at its relaxed geometry (GGA-PBE, the Alexandria database).

Cell: 5.7748 5.7748 5.7748 Å, 60.00 60.00 60.00°
With the nearest neighbours (Å) after each atom.
Positions (direct):
Sr1 0.0000 0.0000 0.0000  12 Se 3.39, 4 Pt 3.54
Pt1 0.7500 0.7500 0.7500  12 Se 3.38, 4 Sr 3.54
Se1 0.3773 0.3773 0.3773  6 Se 2.83-2.94
Se2 0.3773 0.3773 0.8682  6 Se 2.83-2.94
Se3 0.3773 0.8682 0.3773  6 Se 2.83-2.94
Se4 0.8682 0.3773 0.3773  6 Se 2.83-2.94

Its crystal system is cubic. The size of the total moment comes out at 0.0 μB per cell. The total DFT energy (no corrections) is -21.2 eV for the cell shown. The calculation puts the formation energy from raw total energies at 0.08 eV per atom. The calculation puts the density of states at the Fermi level at 4.82 states/eV/cell.

***

# 2
# SrPt2Se

Crystalline SrPt2Se at its relaxed geometry (GGA-PBE, the Alexandria database).

Cell: 8.8422 8.8422 8.8422 Å, 145.26 145.26 49.95°
With the nearest neighbours (Å) after each atom.
Positions (direct):
Sr1 0.0000 0.0000 0.0000  8 Pt 3.54-3.60, 4 Se 3.73
Sr2 0.7500 0.2500 0.5000  8 Pt 3.54-3.60, 4 Se 3.73
Pt1 0.3670 0.6250 0.2420  2 Se 2.40, 2 Pt 2.64
Pt2 0.3750 0.6170 0.7420  2 Se 2.40, 2 Pt 2.64
Pt3 0.3830 0.1250 0.7580  2 Se 2.40, 2 Pt 2.64
Pt4 0.8750 0.6330 0.2580  2 Se 2.40, 2 Pt 2.64
Se1 0.2500 0.7500 0.5000  4 Pt 2.40
Se2 0.5000 0.5000 0.0000  4 Pt 2.40

Its crystal system is tetragonal. The size of the total moment comes out at 0.0 μB per cell. The total DFT energy (no corrections) is -39.5 eV for the cell shown. The calculation puts the formation energy from raw total energies at -0.62 eV per atom. The calculation puts the density of states at the Fermi level at 3.14 states/eV/cell.